Computed, not measured: crystalline LiPaInOs at its relaxed geometry at the PBE level of DFT.

Cell: 4.7580 4.7580 4.7580 Å, 60.00 60.00 60.00°
Sites, in units of the cell vectors:
Li  0.0000  0.0000  0.0000
Os  0.5000  0.5000  0.5000
Pa  0.7500  0.7500  0.7500
In  0.2500  0.2500  0.2500

Output
* theoretical density: 11.84 g/cm3
* ΔH_f (0 K): -95 meV/atom
* density of states at the Fermi level: 1.129 states/eV/atom
* total magnetization: 0.0 μB/f.u.



Computed, not measured: crystalline LiTaCo2 at its relaxed geometry at the PBE level of DFT.

Cell: 2.6750 2.6750 7.8682 Å, 90.00 90.00 90.00°
Last column: magnetic moment on the atom in μB.
Sites, in units of the cell vectors:
Li  0.0000  0.0000  0.4643  -0.03
Co  0.0000  0.0000  0.0322  1.31
Co  0.5000  0.5000  0.2182  1.70
Ta  0.5000  0.5000  0.7853  -0.03

Output
* theoretical density: 9.02 g/cm3
* ΔH_f (0 K): 238 meV/atom
* density of states at the Fermi level: 1.016 states/eV/atom
* total magnetization: 2.8 μB/f.u.